No. 1
Material: CoIr2Au
Method: DFT, GGA-PBE
State: relaxed

Results
**Crystal system**: monoclinic
**Total moment**: 2.55 μB per formula unit
**E above lowest polymorph**: 0.051 eV/atom
**VASP energy**: -6.80 eV per atom
**N(E_F)**: 5.5 states/eV per cell
**DFT formation energy**: 228 meV/atom

The structure in POSCAR format:
```
CoIr2Au
1.0
-3.796 -0.782 -2.836
-3.181 -3.194 -1.656
-3.553 0.584 3.043
Au Co Ir
1 1 2
Direct
0.750 0.750 0.750
0.250 0.250 0.250
0.987 0.987 0.017
0.513 0.513 0.483
```

No. 2
Material: Pm3Ge2Pt
Method: DFT, GGA-PBE
State: relaxed

Results
**Crystal system**: orthorhombic
**Total moment**: 0.31 μB per formula unit
**E above lowest polymorph**: 0.000 eV/atom
**VASP energy**: -5.86 eV per atom
**N(E_F)**: 18.9 states/eV per cell
**DFT formation energy**: -936 meV/atom

The structure in POSCAR format:
```
Pm3Ge2Pt
1.0
4.379 0.000 0.000
0.000 11.696 0.000
0.000 0.000 11.880
Pm Ge Pt
12 8 4
Direct
0.250 0.373 0.056
0.750 0.627 0.944
0.750 0.873 0.444
0.250 0.127 0.556
0.250 0.691 0.216
0.750 0.309 0.784
0.750 0.191 0.284
0.250 0.809 0.716
0.250 0.442 0.380
0.750 0.558 0.620
0.750 0.942 0.120
0.250 0.058 0.880
0.250 0.691 0.486
0.750 0.309 0.514
0.750 0.191 0.014
0.250 0.809 0.986
0.250 0.998 0.311
0.750 0.002 0.689
0.750 0.498 0.189
0.250 0.502 0.811
0.250 0.129 0.128
0.750 0.871 0.872
0.750 0.629 0.372
0.250 0.371 0.628
```

No. 3
Material: ZrTiNi2
Method: DFT, GGA-PBE
State: relaxed

Results
**Crystal system**: tetragonal
**Total moment**: 0.00 μB per formula unit
**E above lowest polymorph**: 0.049 eV/atom
**VASP energy**: -7.37 eV per atom
**N(E_F)**: 5.2 states/eV per cell
**DFT formation energy**: -373 meV/atom

The structure in POSCAR format:
```
ZrTiNi2
1.0
-1.464 -1.952 1.764
2.045 -2.115 -0.643
3.648 1.950 5.186
Ni Zr Ti
2 1 1
Direct
0.000 0.000 0.792
0.000 0.000 0.208
0.500 0.500 0.500
0.500 0.500 0.000
```

No. 4
Material: LaGdDy4
Method: DFT, GGA-PBE
State: relaxed

Results
**Crystal system**: cubic
**Total moment**: 8.38 μB per formula unit
**VASP energy**: -5.98 eV per atom
**N(E_F)**: 13.8 states/eV per cell
**DFT formation energy**: 252 meV/atom

The structure in POSCAR format:
```
LaGdDy4
1.0
-4.971 -4.127 1.541
1.085 -6.546 0.283
-0.029 -3.120 5.863
Gd La Dy
1 1 4
Direct
0.250 0.250 0.250
0.000 0.000 0.000
0.625 0.625 0.125
0.625 0.125 0.625
0.625 0.625 0.625
0.125 0.625 0.625
```

No. 5
Material: Ba6Pt2RhAu
Method: DFT, GGA-PBE
State: relaxed

Results
**Crystal system**: triclinic
**Total moment**: 0.00 μB per formula unit
**VASP energy**: -3.93 eV per atom
**N(E_F)**: 7.3 states/eV per cell
**DFT formation energy**: -507 meV/atom

The structure in POSCAR format:
```
Ba6Pt2RhAu
1.0
7.919 -0.006 -0.001
3.954 6.865 0.000
3.957 2.287 7.468
Ba Pt Rh Au
6 2 1 1
Direct
0.587 0.248 0.242
0.249 0.922 0.242
0.923 0.586 0.243
0.397 0.732 0.758
0.731 0.114 0.758
0.113 0.397 0.758
0.506 0.507 0.480
0.001 0.001 0.997
0.329 0.329 0.014
0.826 0.826 0.523
```

No. 6
Material: Pu6C3N2Cl
Method: DFT, GGA-PBE
State: relaxed

Results
**Crystal system**: monoclinic
**Total moment**: 28.72 μB per formula unit
**ΔE_f (raw)**: -0.55 eV per atom
**VASP energy**: -11.56 eV per atom
**N(E_F)**: 37.3 states/eV per cell

The structure in POSCAR format:
```
Pu6C3N2Cl
1.0
3.598 0.000 0.000
0.000 7.246 0.276
-1.799 -2.017 7.563
Pu C N Cl
6 3 2 1
Direct
0.322 0.907 0.644
0.669 0.581 0.339
0.678 0.093 0.356
0.002 0.279 0.005
0.998 0.721 0.995
0.331 0.419 0.661
0.500 0.500 0.000
0.842 0.170 0.684
0.158 0.830 0.316
0.836 0.668 0.672
0.164 0.332 0.328
0.500 0.000 0.000
```

- What is the N(E_F) in the fifth record?
  7.3 states/eV per cell